(1)
PBE PuThCu2, relaxed; formation energy = 0.0343 eV/atom
1.0
-0.031 2.975 1.865
-3.213 0.729 -1.216
-2.854 -3.458 5.471
Cu Pu Th
2 1 1
Direct
0.000 0.000 0.757
0.000 0.000 0.243
0.500 0.500 0.000
0.500 0.500 0.500

---

(2)
PBE PuTh2Cu, relaxed; formation energy = 0.1717 eV/atom
1.0
3.589 0.000 0.000
1.794 3.108 0.000
1.794 1.036 9.737
Th Cu Pu
2 1 1
Direct
0.074 0.074 0.779
0.260 0.260 0.220
0.668 0.668 0.996
0.498 0.498 0.505

---

(3)
PBE PuThCu2, relaxed; formation energy = 0.2642 eV/atom
1.0
-0.635 -1.243 -3.476
1.281 -3.360 -1.051
-6.568 -4.881 0.926
Pu Cu Th
1 2 1
Direct
0.500 0.500 0.500
0.749 0.749 0.752
0.251 0.251 0.248
0.000 0.000 0.000

---

(4)
PBE Pu2ThCu, relaxed; formation energy = 0.2888 eV/atom
1.0
5.121 0.000 0.000
2.561 4.435 0.000
2.561 1.478 4.182
Pu Cu Th
2 1 1
Direct
0.750 0.750 0.750
0.250 0.250 0.250
0.000 0.000 0.000
0.500 0.500 0.500

---

(5)
PBE PuTh2Cu, relaxed; formation energy = 0.0415 eV/atom
1.0
3.466 0.000 0.000
0.000 5.379 0.000
0.000 0.000 5.379
Th Pu Cu
2 1 1
Direct
0.000 0.000 0.500
0.000 0.500 0.000
0.500 0.500 0.500
0.500 0.000 0.000

---

(6)
PBE PuThCu4, relaxed; formation energy = -0.0336 eV/atom
1.0
-0.988 -3.568 1.290
3.521 -1.359 -1.060
1.495 4.207 6.824
Cu Th Pu
4 1 1
Direct
0.670 0.170 0.339
0.579 0.579 0.159
0.830 0.330 0.661
0.421 0.421 0.841
0.250 0.750 0.500
0.000 0.000 0.000

---

(7)
PBE Pu2ThCu, relaxed; formation energy = 0.1460 eV/atom
1.0
3.595 0.000 0.000
0.000 3.595 0.000
0.000 0.000 7.557
Pu Cu Th
2 1 1
Direct
0.000 0.000 0.207
0.000 0.000 0.793
0.500 0.500 0.000
0.500 0.500 0.500

---

(8)
PBE Pu3ThCu8, relaxed; formation energy = -0.0617 eV/atom
1.0
-4.851 -1.994 0.112
3.221 -0.706 4.080
-2.909 7.275 3.554
Cu Pu Th
8 3 1
Direct
0.003 0.502 0.751
0.170 0.339 0.250
0.333 0.667 0.500
0.333 0.667 0.999
0.498 0.997 0.751
0.498 0.502 0.751
0.170 0.830 0.250
0.661 0.830 0.250
0.000 0.000 0.953
0.667 0.333 0.054
0.667 0.333 0.435
0.000 0.000 0.557

---

(9)
PBE PuThCu10, relaxed; formation energy = -0.0757 eV/atom
1.0
4.089 0.000 0.000
0.000 5.133 0.000
0.000 0.000 8.817
Cu Th Pu
10 1 1
Direct
0.500 0.251 0.250
0.000 0.500 0.836
0.500 0.251 0.750
0.000 0.000 0.668
0.500 0.500 0.000
0.500 0.749 0.750
0.000 0.500 0.164
0.500 0.749 0.250
0.500 0.000 0.500
0.000 0.000 0.332
0.000 0.500 0.500
0.000 0.000 0.000

---

(10)
PBE Pu2TiCu, relaxed; formation energy = 0.2059 eV/atom
1.0
-0.288 2.780 3.597
-4.081 0.359 -0.604
-0.652 -3.261 2.468
Pu Cu Ti
2 1 1
Direct
0.000 0.000 0.500
0.000 0.500 0.000
0.500 0.000 0.000
0.500 0.500 0.500

---

(11)
PBE PuTiCu2, relaxed; formation energy = 0.2034 eV/atom
1.0
-2.552 -0.051 0.064
0.052 -2.553 0.051
0.220 0.182 8.934
Cu Ti Pu
2 1 1
Direct
0.000 0.000 0.229
0.000 0.000 0.771
0.500 0.500 0.000
0.500 0.500 0.500

---

(12)
PBE PuTiCu2, relaxed; formation energy = 0.1730 eV/atom
1.0
3.973 0.000 0.000
0.000 4.143 0.000
0.000 0.000 4.143
Cu Pu Ti
2 1 1
Direct
0.000 0.000 0.500
0.000 0.500 0.000
0.500 0.000 0.000
0.500 0.500 0.500

---

(13)
PBE PuTiCu4, relaxed; formation energy = 0.0391 eV/atom
1.0
5.055 0.000 0.000
2.528 4.378 0.000
2.528 1.459 4.127
Cu Ti Pu
4 1 1
Direct
0.122 0.626 0.626
0.626 0.626 0.122
0.626 0.626 0.626
0.626 0.122 0.626
0.000 0.000 0.000
0.250 0.250 0.250

---

(14)
PBE PuTlCu2, relaxed; formation energy = 0.2083 eV/atom
1.0
-1.632 -2.927 0.526
2.038 -0.663 2.630
-4.454 3.252 4.272
Cu Pu Tl
2 1 1
Direct
0.000 0.000 0.763
0.000 0.000 0.237
0.500 0.500 0.500
0.500 0.500 0.000

---

(15)
PBE PuTl2Cu, relaxed; formation energy = 0.1903 eV/atom
1.0
-2.959 1.473 3.425
2.681 -1.908 3.138
2.344 3.880 0.357
Tl Pu Cu
2 1 1
Direct
0.000 0.500 0.000
0.000 0.000 0.500
0.500 0.000 0.000
0.500 0.500 0.500

---

(16)
PBE PuTl2Cu, relaxed; formation energy = 0.1283 eV/atom
1.0
3.415 0.000 0.000
0.000 3.415 0.000
0.000 0.000 7.958
Pu Cu Tl
1 1 2
Direct
0.500 0.500 0.500
0.500 0.500 0.000
0.000 0.000 0.793
0.000 0.000 0.207

---

(17)
PBE PuTl2Cu, relaxed; formation energy = 0.1814 eV/atom
1.0
-2.733 1.407 3.480
-1.732 -3.101 2.992
2.813 0.052 5.287
Cu Tl Pu
1 2 1
Direct
0.000 0.000 0.000
0.725 0.725 0.826
0.275 0.275 0.174
0.500 0.500 0.500

---

(18)
PBE TmPuTlCu, relaxed; formation energy = -0.0181 eV/atom
1.0
-2.409 -3.706 2.690
1.030 -4.979 -0.960
2.629 -2.811 3.457
Tm Cu Pu Tl
1 1 1 1
Direct
0.500 0.500 0.500
0.750 0.750 0.750
0.000 0.000 0.000
0.250 0.250 0.250

---

(19)
PBE PuTlZnCu, relaxed; formation energy = 0.0443 eV/atom
1.0
-0.071 -0.814 4.803
3.201 -3.083 1.996
3.594 1.704 2.813
Tl Zn Pu Cu
1 1 1 1
Direct
0.000 0.000 0.000
0.750 0.750 0.750
0.500 0.500 0.500
0.250 0.250 0.250

---

(20)
PBE Tm2PuCu9, relaxed; formation energy = -0.1329 eV/atom
1.0
-3.509 -3.795 0.465
-1.962 -1.164 4.661
-7.816 3.744 0.534
Cu Tm Pu
9 2 1
Direct
0.583 0.082 0.751
0.583 0.583 0.751
0.417 0.417 0.249
0.082 0.583 0.751
0.500 0.500 0.500
0.417 0.918 0.249
0.918 0.417 0.249
0.667 0.667 0.998
0.333 0.333 0.002
0.142 0.142 0.574
0.858 0.858 0.426
0.000 0.000 0.000

---

Respective uncorrected energy values: -7.45 -8.15 -7.22 -9.76 -8.28 -6.39 -9.90 -6.99 -5.30 -9.96 -7.40 -7.43 -6.40 -6.01 -5.60 -5.66 -5.61 -6.33 -5.47 -5.14 eV per atom.